First-principles (PBE-GGA) data for an optimized crystal structure of Sc3TaNb, as listed in Alexandria.

The formation energy is 1109 meV per atom. The value obtained for the magnetic moment is 0.0 μB per formula unit. The density comes out at 5.70 g cm⁻³. Its space-group type is Pm-3m, No. 221.

a = 4.9206 Å, b = 4.9206 Å, c = 4.9206 Å
α = 90.00°, β = 90.00°, γ = 90.00°
Positions (direct):
1 Sc 0.0000 0.0000 0.5000
2 Sc 0.0000 0.5000 0.0000
3 Sc 0.5000 0.0000 0.0000
4 Ta 0.5000 0.5000 0.5000
5 Nb 0.0000 0.0000 0.0000

---

First-principles (PBE-GGA) data for an optimized crystal structure of ThScI, as listed in Alexandria.

The value obtained for the magnetic moment is 0.0 μB per formula unit. The density comes out at 5.73 g cm⁻³. Its space-group type is P-1, No. 2. Its total DFT energy (no corrections) is -5.2822 eV/atom.

a = 5.3771 Å, b = 5.6614 Å, c = 9.2939 Å
α = 91.43°, β = 106.73°, γ = 118.35°
Positions (direct):
1 Th 0.1702 0.3404 0.0000
2 Th 0.8298 0.6596 0.0000
3 Sc 0.3879 0.9433 0.8318
4 Sc 0.6121 0.0567 0.1682
5 I 0.2229 0.1147 0.3326
6 I 0.7771 0.8853 0.6674

---

First-principles (PBE-GGA) data for an optimized crystal structure of Sm2HgB3Pt12, as listed in Alexandria.

The formation energy is -316 meV per atom. The value obtained for the magnetic moment is 0.0 μB per formula unit. The density comes out at 14.76 g cm⁻³. Its space-group type is R-3m, No. 166.

a = 7.4364 Å, b = 7.4364 Å, c = 7.4364 Å
α = 65.13°, β = 65.13°, γ = 65.13°
Positions (direct):
1 Sm 0.1002 0.1002 0.1002
2 Sm 0.8998 0.8998 0.8998
3 Hg 0.5000 0.5000 0.5000
4 B 0.0000 0.5000 0.5000
5 B 0.5000 0.0000 0.5000
6 B 0.5000 0.5000 0.0000
7 Pt 0.0966 0.6347 0.6347
8 Pt 0.1770 0.1770 0.5904
9 Pt 0.1770 0.5904 0.1770
10 Pt 0.3653 0.3653 0.9034
11 Pt 0.3653 0.9034 0.3653
12 Pt 0.4096 0.8230 0.8230
13 Pt 0.5904 0.1770 0.1770
14 Pt 0.6347 0.0966 0.6347
15 Pt 0.6347 0.6347 0.0966
16 Pt 0.8230 0.4096 0.8230
17 Pt 0.8230 0.8230 0.4096
18 Pt 0.9034 0.3653 0.3653

---

First-principles (PBE-GGA) data for an optimized crystal structure of Ba4ThPa3N8, as listed in Alexandria.

The value obtained for the magnetic moment is 0.0 μB per formula unit. The density comes out at 8.70 g cm⁻³. Its space-group type is R-3m, No. 166. Its total DFT energy (no corrections) is -8.1642 eV/atom.

a = 7.7362 Å, b = 7.7362 Å, c = 7.7362 Å
α = 56.73°, β = 56.73°, γ = 56.73°
Positions (direct):
1 Ba 0.0000 0.0000 0.0000
2 Ba 0.0000 0.5000 0.5000
3 Ba 0.5000 0.0000 0.5000
4 Ba 0.5000 0.5000 0.0000
5 Th 0.5000 0.5000 0.5000
6 Pa 0.0000 0.0000 0.5000
7 Pa 0.0000 0.5000 0.0000
8 Pa 0.5000 0.0000 0.0000
9 N 0.2067 0.7315 0.7315
10 N 0.2234 0.2234 0.2234
11 N 0.2685 0.2685 0.7933
12 N 0.2685 0.7933 0.2685
13 N 0.7315 0.2067 0.7315
14 N 0.7315 0.7315 0.2067
15 N 0.7766 0.7766 0.7766
16 N 0.7933 0.2685 0.2685

---

First-principles (PBE-GGA) data for an optimized crystal structure of LaMo, as listed in Alexandria.

The formation energy is 267 meV per atom. The value obtained for the magnetic moment is 0.0 μB per formula unit. The density comes out at 7.17 g cm⁻³. Its space-group type is R-3m, No. 166.

a = 7.1300 Å, b = 7.1300 Å, c = 7.1300 Å
α = 35.41°, β = 35.41°, γ = 35.41°
Positions (direct):
1 La 0.0999 0.0999 0.0999
2 La 0.9001 0.9001 0.9001
3 Mo 0.3184 0.3184 0.3184
4 Mo 0.6816 0.6816 0.6816

---

First-principles (PBE-GGA) data for an optimized crystal structure of Sc2PtRh2, as listed in Alexandria.

The formation energy is -865 meV per atom. The value obtained for the magnetic moment is 0.0 μB per formula unit. The density comes out at 9.39 g cm⁻³. Its space-group type is P4/mbm, No. 127.

a = 6.9664 Å, b = 6.9664 Å, c = 3.5778 Å
α = 90.00°, β = 90.00°, γ = 90.00°
Positions (direct):
1 Sc 0.1764 0.3236 0.0000
2 Sc 0.3236 0.8236 0.0000
3 Sc 0.6764 0.1764 0.0000
4 Sc 0.8236 0.6764 0.0000
5 Pt 0.0000 0.0000 0.5000
6 Pt 0.5000 0.5000 0.5000
7 Rh 0.1321 0.6321 0.5000
8 Rh 0.3679 0.1321 0.5000
9 Rh 0.6321 0.8679 0.5000
10 Rh 0.8679 0.3679 0.5000

---

First-principles (PBE-GGA) data for an optimized crystal structure of SrGdHgPt, as listed in Alexandria.

The formation energy is -652 meV per atom. The value obtained for the magnetic moment is 7.2 μB per formula unit. The density comes out at 10.40 g cm⁻³. Its space-group type is F-43m, No. 216.

a = 5.2485 Å, b = 5.2485 Å, c = 5.2485 Å
α = 60.00°, β = 60.00°, γ = 60.00°
Positions (direct):
1 Sr 0.0000 0.0000 0.0000
2 Gd 0.5000 0.5000 0.5000
3 Hg 0.2500 0.2500 0.2500
4 Pt 0.7500 0.7500 0.7500

---

First-principles (PBE-GGA) data for an optimized crystal structure of Zr6C7, as listed in Alexandria.

The formation energy is 295 meV per atom. The value obtained for the magnetic moment is 1.6 μB per formula unit. The density comes out at 6.02 g cm⁻³. Its space-group type is R-3m, No. 166.

a = 9.7294 Å, b = 9.7294 Å, c = 9.7294 Å
α = 27.58°, β = 27.58°, γ = 27.58°
Positions (direct):
1 Zr 0.0652 0.0652 0.0652
2 Zr 0.2002 0.2002 0.2002
3 Zr 0.3221 0.3221 0.3221
4 Zr 0.6779 0.6779 0.6779
5 Zr 0.7998 0.7998 0.7998
6 Zr 0.9348 0.9348 0.9348
7 C 0.1795 0.5133 0.5133
8 C 0.4867 0.4867 0.8205
9 C 0.4867 0.8205 0.4867
10 C 0.5000 0.5000 0.5000
11 C 0.5133 0.1795 0.5133
12 C 0.5133 0.5133 0.1795
13 C 0.8205 0.4867 0.4867

---

First-principles (PBE-GGA) data for an optimized crystal structure of BaNaNb, as listed in Alexandria.

The formation energy is 1363 meV per atom. The value obtained for the magnetic moment is 4.4 μB per formula unit. The density comes out at 3.33 g cm⁻³. Its space-group type is P4/nmm, No. 129.

a = 5.3218 Å, b = 5.3218 Å, c = 8.9095 Å
α = 90.00°, β = 90.00°, γ = 90.00°
Positions (direct):
1 Ba 0.2500 0.7500 0.0000
2 Ba 0.7500 0.2500 0.0000
3 Na 0.2500 0.2500 0.3504
4 Na 0.7500 0.7500 0.6496
5 Nb 0.2500 0.2500 0.7328
6 Nb 0.7500 0.7500 0.2672

---

First-principles (PBE-GGA) data for an optimized crystal structure of KRbSr2Pt, as listed in Alexandria.

The formation energy is -230 meV per atom. The value obtained for the magnetic moment is 0.0 μB per formula unit. The density comes out at 3.32 g cm⁻³. Its space-group type is P4/mmm, No. 123.

a = 6.0037 Å, b = 6.0037 Å, c = 6.8609 Å
α = 90.00°, β = 90.00°, γ = 90.00°
Positions (direct):
1 K 0.0000 0.0000 0.0000
2 Rb 0.5000 0.5000 0.0000
3 Sr 0.0000 0.5000 0.5000
4 Sr 0.5000 0.0000 0.5000
5 Pt 0.0000 0.0000 0.5000

---

First-principles (PBE-GGA) data for an optimized crystal structure of Pr7Zn2N2, as listed in Alexandria.

The value obtained for the magnetic moment is 0.0 μB per formula unit. The density comes out at 6.68 g cm⁻³. Its space-group type is C2/m, No. 12. Its total DFT energy (no corrections) is -5.1966 eV/atom.

a = 6.8714 Å, b = 6.8714 Å, c = 6.6680 Å
α = 94.06°, β = 94.06°, γ = 65.08°
Positions (direct):
1 Pr 0.0000 0.0000 0.0000
2 Pr 0.0451 0.5047 0.7602
3 Pr 0.4412 0.4412 0.2141
4 Pr 0.4953 0.9549 0.2398
5 Pr 0.5047 0.0451 0.7602
6 Pr 0.5588 0.5588 0.7859
7 Pr 0.9549 0.4953 0.2398
8 Zn 0.1670 0.8330 0.5000
9 Zn 0.8330 0.1670 0.5000
10 N 0.2294 0.2294 0.0210
11 N 0.7706 0.7706 0.9790

---

First-principles (PBE-GGA) data for an optimized crystal structure of NaMgAlIr2, as listed in Alexandria.

The formation energy is 989 meV per atom. The value obtained for the magnetic moment is 0.0 μB per formula unit. The density comes out at 8.15 g cm⁻³. Its space-group type is P4/mmm, No. 123.

a = 4.6363 Å, b = 4.6363 Å, c = 4.3466 Å
α = 90.00°, β = 90.00°, γ = 90.00°
Positions (direct):
1 Na 0.0000 0.0000 0.0000
2 Mg 0.0000 0.0000 0.5000
3 Al 0.5000 0.5000 0.0000
4 Ir 0.0000 0.5000 0.5000
5 Ir 0.5000 0.0000 0.5000